A geometry-optimized Y2AuI2 structure. Source: Alexandria, functional GGA-PBE.

Unit cell a=4.101 b=4.101 c=12.094 alpha=80.24 beta=80.24 gamma=60.00
Element x y z (fractional)
Y1 0.617 0.617 0.149
Y2 0.383 0.383 0.851
Au1 0.000 0.000 0.000
I1 0.225 0.225 0.325
I2 0.775 0.775 0.675

Computed properties:
Crystal system: trigonal
Calculated total energy (eV per atom): -4.955
E above lowest polymorph (meV per atom): 0
Formation energy from raw total energies (kJ/mol of formula units): -527.7

***

A geometry-optimized HgCS structure. Source: Alexandria, functional GGA-PBE.

Unit cell a=2.897 b=2.897 c=7.756 alpha=90.00 beta=90.00 gamma=120.00
Element x y z (fractional)
C1 0.333 0.667 0.580
S1 0.667 0.333 0.468
Hg1 0.000 0.000 0.952

Computed properties:
Crystal system: trigonal
Calculated total energy (eV per atom): -3.535
E above lowest polymorph (meV per atom): 565
Formation energy from raw total energies (kJ/mol of formula units): 294.2

***

A geometry-optimized MgTa2Ni structure. Source: Alexandria, functional GGA-PBE.

Unit cell a=3.170 b=4.398 c=4.740 alpha=90.00 beta=90.00 gamma=90.00
Element x y z (fractional)
Mg1 0.500 0.000 0.500
Ni1 0.000 0.500 0.500
Ta1 0.000 0.000 0.000
Ta2 0.500 0.500 0.000

Computed properties:
Crystal system: orthorhombic
Calculated total energy (eV per atom): -7.592
DFT formation energy (eV per atom): 0.18

***

A geometry-optimized NdLu3Co structure. Source: Alexandria, functional GGA-PBE.

Unit cell a=5.191 b=5.191 c=5.191 alpha=90.00 beta=90.00 gamma=90.00
Element x y z (fractional)
Co1 0.000 0.000 0.000
Lu1 0.000 0.500 0.000
Lu2 0.000 0.000 0.500
Lu3 0.500 0.000 0.000
Nd1 0.500 0.500 0.500

Computed properties:
Crystal system: cubic
Calculated total energy (eV per atom): -5.175
DFT formation energy (eV per atom): -0.09

***

A geometry-optimized Ac3Zn3In4 structure. Source: Alexandria, functional GGA-PBE.

Unit cell a=9.014 b=9.014 c=9.014 alpha=109.47 beta=109.47 gamma=109.47
Element x y z (fractional)
Ac1 0.625 0.750 0.875
Ac2 0.875 0.250 0.625
Ac3 0.125 0.375 0.250
Ac4 0.375 0.125 0.750
Ac5 0.250 0.875 0.125
Ac6 0.750 0.625 0.375
Zn1 0.125 0.750 0.375
Zn2 0.375 0.250 0.125
Zn3 0.625 0.875 0.250
Zn4 0.875 0.625 0.750
Zn5 0.250 0.375 0.625
Zn6 0.750 0.125 0.875
In1 0.000 0.000 0.343
In2 0.500 0.343 0.500
In3 0.657 0.157 0.157
In4 0.000 0.000 0.843
In5 0.843 0.500 0.000
In6 0.500 0.843 0.500
In7 0.343 0.500 0.000
In8 0.157 0.657 0.657

Computed properties:
Crystal system: cubic
Calculated total energy (eV per atom): -3.088
DFT formation energy (eV per atom): -0.38

***

A geometry-optimized Ba2HAu structure. Source: Alexandria, functional GGA-PBE.

Unit cell a=5.904 b=5.890 c=7.837 alpha=112.07 beta=90.00 gamma=90.00
Element x y z (fractional)
Ba1 0.750 0.028 0.270
Ba2 0.250 0.258 0.730
Ba3 0.250 0.492 0.270
Ba4 0.750 0.722 0.730
H1 0.000 0.375 0.500
H2 0.500 0.375 0.500
Au1 0.750 0.375 0.000
Au2 0.250 0.875 0.000

Computed properties:
Crystal system: orthorhombic
Calculated total energy (eV per atom): -3.126
E above lowest polymorph (meV per atom): 0

***

A geometry-optimized Ho6Sc structure. Source: Alexandria, functional GGA-PBE.

Unit cell a=6.335 b=6.335 c=10.997 alpha=90.00 beta=90.00 gamma=90.00
Element x y z (fractional)
Ho1 0.500 0.500 0.137
Ho2 0.000 0.000 0.137
Ho3 0.000 0.000 0.863
Ho4 0.500 0.500 0.863
Ho5 0.831 0.669 0.362
Ho6 0.331 0.831 0.362
Ho7 0.669 0.169 0.362
Ho8 0.169 0.331 0.362
Ho9 0.669 0.831 0.638
Ho10 0.169 0.669 0.638
Ho11 0.831 0.331 0.638
Ho12 0.331 0.169 0.638
Sc1 0.500 0.000 0.000
Sc2 0.000 0.500 0.000

Computed properties:
Crystal system: tetragonal
Calculated total energy (eV per atom): -4.517
DFT formation energy (eV per atom): 0.31

***

A geometry-optimized LiTb4Dy3Se8 structure. Source: Alexandria, functional GGA-PBE.

Unit cell a=8.140 b=8.145 c=8.140 alpha=119.98 beta=120.00 gamma=90.00
Element x y z (fractional)
Li1 0.000 0.500 0.000
Tb1 0.500 0.000 0.000
Tb2 0.500 0.000 0.500
Tb3 0.000 0.000 0.000
Tb4 0.000 0.000 0.500
Dy1 0.500 0.500 0.000
Dy2 0.500 0.500 0.500
Dy3 0.000 0.500 0.500
Se1 0.244 0.743 0.999
Se2 0.244 0.743 0.488
Se3 0.251 0.252 0.501
Se4 0.755 0.743 0.999
Se5 0.245 0.257 0.001
Se6 0.749 0.748 0.499
Se7 0.756 0.257 0.512
Se8 0.756 0.257 0.001

Computed properties:
Crystal system: trigonal
Calculated total energy (eV per atom): -5.637
Formation energy from raw total energies (kJ/mol of formula units): -2708.8

***

A geometry-optimized PaGaAgPd structure. Source: Alexandria, functional GGA-PBE.

Unit cell a=4.812 b=4.812 c=4.812 alpha=60.00 beta=60.00 gamma=60.00
Element x y z (fractional)
Ga1 0.000 0.000 0.000
Pa1 0.500 0.500 0.500
Pd1 0.250 0.250 0.250
Ag1 0.750 0.750 0.750

Computed properties:
Crystal system: cubic
Calculated total energy (eV per atom): -5.386
DFT formation energy (eV per atom): -0.24

***

A geometry-optimized Fe3Br structure. Source: Alexandria, functional GGA-PBE.

Unit cell a=4.184 b=4.184 c=7.591 alpha=57.64 beta=57.64 gamma=42.21
Each line ends with the local moment (μB).
Element x y z (fractional)
Br1 0.000 0.000 0.000  0.06
Fe1 0.500 0.500 0.500  2.73
Fe2 0.696 0.696 0.656  2.74
Fe3 0.304 0.304 0.344  2.74

Computed properties:
Crystal system: monoclinic
Calculated total energy (eV per atom): -6.279
E above lowest polymorph (meV per atom): 102
Formation energy from raw total energies (kJ/mol of formula units): 187.5

***

A geometry-optimized NdTm2Pu structure. Source: Alexandria, functional GGA-PBE.

Unit cell a=5.594 b=5.594 c=5.594 alpha=60.00 beta=60.00 gamma=60.00
Each line ends with the local moment (μB).
Element x y z (fractional)
Tm1 0.250 0.250 0.250  0.14
Tm2 0.750 0.750 0.750  0.14
Nd1 0.000 0.000 0.000  -0.03
Pu1 0.500 0.500 0.500  5.50

Computed properties:
Crystal system: cubic
Calculated total energy (eV per atom): -6.818
DFT formation energy (eV per atom): 0.19
E above lowest polymorph (meV per atom): 97

***

A geometry-optimized AlSiSb2 structure. Source: Alexandria, functional GGA-PBE.

Unit cell a=5.028 b=5.028 c=5.028 alpha=60.00 beta=60.00 gamma=60.00
Element x y z (fractional)
Sb1 0.000 0.000 0.000
Sb2 0.250 0.250 0.250
Si1 0.750 0.750 0.750
Al1 0.500 0.500 0.500

Computed properties:
Crystal system: cubic
Calculated total energy (eV per atom): -3.931
E above lowest polymorph (meV per atom): 261
Formation energy from raw total energies (kJ/mol of formula units): 162.5

***

no.,Fermi-level density of states (states/eV per cell)
1,4.014
2,0.971
3,3.281
4,6.322
5,10.065
6,6.738
7,18.384
8,7.510
9,3.659
10,3.322
11,10.877
12,1.087